# 1
Compound: BaBe2Co
Source: the Alexandria database
Functional: PBE
Structure: optimized geometry

a = 4.212 Å, b = 4.212 Å, c = 7.899 Å
α = 90.00°, β = 90.00°, γ = 90.00°
Space group I4/mmm (No. 139)
One atom of each set of equivalent atoms:
Ba 0.000 0.000 0.000 (multiplicity 2)
Be 0.000 0.500 0.250 (multiplicity 4)
Co 0.000 0.000 0.500 (multiplicity 2)

Its density of states at the Fermi level is 3.6 states/eV per cell.


# 2
Compound: CePrPu2
Source: the Alexandria database
Functional: PBE
Structure: optimized geometry

a = 3.9768 Å, b = 3.9768 Å, c = 27.2388 Å
α = 90.00°, β = 90.00°, γ = 120.00°
Space group R-3m (No. 166, hexagonal axes)
One atom of each set of equivalent atoms:
Ce 0.0000 0.0000 0.0000 (multiplicity 3)
Pr 0.0000 0.0000 0.5000 (multiplicity 3)
Pu 0.0000 0.0000 0.3855 (multiplicity 6)

Its density of states at the Fermi level is 30.0 states/eV per cell.


Here are the calculated formation enthalpy at 0 K numbers, same order: 1.031; 0.643 (eV/atom).